# 1
Crystalline Tm2Si3Rh2 at its relaxed geometry. Source: the Alexandria database, functional PBE-GGA.

## Properties
As for the formation energy from raw total energies: -0.874 eV/atom. The calculation puts the final energy at -46.0 eV/f.u. Its crystal system is monoclinic.

```
data_Tm2Si3Rh2
_chemical_formula_sum 'Tm4 Si6 Rh4'
_cell_length_a 9.886
_cell_length_b 4.142
_cell_length_c 6.410
_cell_angle_alpha 90.00
_cell_angle_beta 114.80
_cell_angle_gamma 90.00
_space_group_name_H-M_alt 'C 1 2/m 1'
_space_group_IT_number 12
_space_group_name_Hall '-C 2y'
loop_
_atom_site_label
_atom_site_fract_x
_atom_site_fract_y
_atom_site_fract_z
Tm1 0.153 0.000 0.273
Si1 0.000 0.500 0.500
Si2 0.111 0.500 0.941
Rh1 0.134 0.000 0.728
```

***

# 2
Crystalline ZrTiAg2Te at its relaxed geometry. Source: the Alexandria database, functional PBE-GGA.

## Properties
As for the formation energy from raw total energies: 1.072 eV/atom. The calculation puts the final energy at -19.9 eV/f.u. Its crystal system is tetragonal.

```
data_ZrTiAg2Te
_chemical_formula_sum 'Zr1 Ti1 Ag2 Te1'
_cell_length_a 5.302
_cell_length_b 5.302
_cell_length_c 4.758
_cell_angle_alpha 90.00
_cell_angle_beta 90.00
_cell_angle_gamma 90.00
_space_group_name_H-M_alt 'P 4/m m m'
_space_group_IT_number 123
_space_group_name_Hall '-P 4 2'
loop_
_atom_site_label
_atom_site_fract_x
_atom_site_fract_y
_atom_site_fract_z
Zr1 0.000 0.000 0.000
Ti1 0.000 0.000 0.500
Ag1 0.000 0.500 0.000
Te1 0.500 0.500 0.500
```

***

# 3
Crystalline Mg16Al12H at its relaxed geometry. Source: the Alexandria database, functional PBE-GGA.

## Properties
As for the distance to the lowest polymorph of the same formula: 0.000 eV/atom. The calculation puts the final energy at -73.7 eV/f.u. Its crystal system is monoclinic.

```
data_Mg16Al12H
_chemical_formula_sum 'Mg32 Al24 H2'
_cell_length_a 10.461
_cell_length_b 14.759
_cell_length_c 9.085
_cell_angle_alpha 90.00
_cell_angle_beta 124.69
_cell_angle_gamma 90.00
_space_group_name_H-M_alt 'C 1 m 1'
_space_group_IT_number 8
_space_group_name_Hall 'C -2y'
loop_
_atom_site_label
_atom_site_fract_x
_atom_site_fract_y
_atom_site_fract_z
Mg1 0.000 0.000 0.000
Mg2 0.008 0.000 0.341
Mg3 0.016 0.304 0.647
Mg4 0.040 0.364 0.335
Mg5 0.198 0.200 0.015
Mg6 0.310 0.000 0.041
Mg7 0.327 0.327 0.334
Mg8 0.342 0.348 0.732
Mg9 0.379 0.000 0.676
Mg10 0.441 0.157 0.930
Al1 0.098 0.094 0.696
Al2 0.132 0.500 0.155
Al3 0.185 0.187 0.516
Al4 0.225 0.408 0.968
Al5 0.271 0.092 0.327
Al6 0.324 0.500 0.513
Al7 0.496 0.315 0.148
H1 0.329 0.500 0.719
```

***

# 4
Crystalline LiHo6Ru5 at its relaxed geometry. Source: the Alexandria database, functional PBE-GGA.

## Properties
The energy of formation from the pure elements is -354 meV per atom. The calculation puts the final energy at -80.0 eV/f.u. Its crystal system is orthorhombic.

```
data_LiHo6Ru5
_chemical_formula_sum 'Li2 Ho12 Ru10'
_cell_length_a 4.829
_cell_length_b 14.456
_cell_length_c 6.802
_cell_angle_alpha 90.00
_cell_angle_beta 90.00
_cell_angle_gamma 90.00
_space_group_name_H-M_alt 'C m m m'
_space_group_IT_number 65
_space_group_name_Hall '-C 2 2'
loop_
_atom_site_label
_atom_site_fract_x
_atom_site_fract_y
_atom_site_fract_z
Li1 0.000 0.000 0.000
Ho1 0.000 0.171 0.253
Ho2 0.000 0.500 0.259
Ru1 0.000 0.000 0.500
Ru2 0.000 0.333 0.500
Ru3 0.000 0.338 0.000
```

***

# 5
Crystalline AcMoP at its relaxed geometry. Source: the Alexandria database, functional PBE-GGA.

## Properties
As for the distance to the lowest polymorph of the same formula: 0.137 eV/atom. The energy of formation from the pure elements is -270 meV per atom. The calculation puts the final energy at -21.2 eV/f.u. Its crystal system is tetragonal.

```
data_AcMoP
_chemical_formula_sum 'Ac2 Mo2 P2'
_cell_length_a 3.384
_cell_length_b 3.384
_cell_length_c 11.160
_cell_angle_alpha 90.00
_cell_angle_beta 90.00
_cell_angle_gamma 90.00
_space_group_name_H-M_alt 'I 4 m m'
_space_group_IT_number 107
_space_group_name_Hall 'I 4 -2'
loop_
_atom_site_label
_atom_site_fract_x
_atom_site_fract_y
_atom_site_fract_z
Ac1 0.000 0.000 0.000
Mo1 0.000 0.000 0.288
P1 0.000 0.000 0.709
```

***

# 6
Crystalline YUBiN2 at its relaxed geometry. Source: the Alexandria database, functional PBE-GGA.

## Properties
As for the formation energy from raw total energies: -1.264 eV/atom. The calculation puts the final energy at -44.6 eV/f.u. Its crystal system is tetragonal.

```
data_YUBiN2
_chemical_formula_sum 'Y2 U2 Bi2 N4'
_cell_length_a 3.940
_cell_length_b 3.940
_cell_length_c 12.729
_cell_angle_alpha 90.00
_cell_angle_beta 90.00
_cell_angle_gamma 90.00
_space_group_name_H-M_alt 'I 4 m m'
_space_group_IT_number 107
_space_group_name_Hall 'I 4 -2'
loop_
_atom_site_label
_atom_site_fract_x
_atom_site_fract_y
_atom_site_fract_z
Y1 0.000 0.000 0.000
U1 0.000 0.000 0.333
Bi1 0.000 0.000 0.669
N1 0.000 0.500 0.403
```

***

# 7
Crystalline YCuPb at its relaxed geometry. Source: the Alexandria database, functional PBE-GGA.

## Properties
The energy of formation from the pure elements is -330 meV per atom. The calculation puts the final energy at -15.3 eV/f.u. Its crystal system is monoclinic.

```
data_YCuPb
_chemical_formula_sum 'Y4 Cu4 Pb4'
_cell_length_a 7.973
_cell_length_b 4.600
_cell_length_c 8.211
_cell_angle_alpha 90.00
_cell_angle_beta 108.89
_cell_angle_gamma 90.00
_space_group_name_H-M_alt 'C 1 m 1'
_space_group_IT_number 8
_space_group_name_Hall 'C -2y'
loop_
_atom_site_label
_atom_site_fract_x
_atom_site_fract_y
_atom_site_fract_z
Y1 0.000 0.000 0.000
Y2 0.166 0.000 0.498
Cu1 0.376 0.500 0.629
Cu2 0.406 0.000 0.216
Pb1 0.084 0.500 0.752
Pb2 0.254 0.500 0.260
```

***

# 8
Crystalline Tl5Sn2Se6 at its relaxed geometry. Source: the Alexandria database, functional PBE-GGA.

## Properties
As for the formation energy from raw total energies: -0.382 eV/atom. The calculation puts the final energy at -45.7 eV/f.u. Its crystal system is orthorhombic.

```
data_Tl5Sn2Se6
_chemical_formula_sum 'Tl10 Sn4 Se12'
_cell_length_a 13.018
_cell_length_b 15.232
_cell_length_c 4.494
_cell_angle_alpha 90.00
_cell_angle_beta 90.00
_cell_angle_gamma 90.00
_space_group_name_H-M_alt 'P b a m'
_space_group_IT_number 55
_space_group_name_Hall '-P 2 2ab'
loop_
_atom_site_label
_atom_site_fract_x
_atom_site_fract_y
_atom_site_fract_z
Tl1 0.000 0.000 0.000
Tl2 0.004 0.220 0.000
Tl3 0.147 0.485 0.000
Sn1 0.225 0.687 0.500
Se1 0.032 0.646 0.500
Se2 0.182 0.038 0.500
Se3 0.238 0.278 0.000
```